This record from Alexandria via LeMat-Bulk describes crystalline NiHgTe2 at its relaxed geometry. The functional is PBE.

abc: 7.184 7.184 7.184
angles: 147.90 147.90 46.04
Atoms (fractional coordinates):
Ni  0.000  0.000  0.000
Hg  0.750  0.250  0.500
Te  0.250  0.750  0.500
Te  0.500  0.500  0.000

Calculated values
E_form (uncorrected)	0.431	eV per atom

***

This record from Alexandria via LeMat-Bulk describes crystalline CsRbBa2H at its relaxed geometry. The functional is PBE.

abc: 6.052 6.052 7.660
angles: 90.00 90.00 90.00
Atoms (fractional coordinates):
Cs  0.000  0.000  0.000
Rb  0.500  0.500  0.000
Ba  0.000  0.500  0.500
Ba  0.500  0.000  0.500
H  0.000  0.000  0.500

Calculated values
energy above the most stable polymorph in this dataset	0.000	eV/atom

***

This record from Alexandria via LeMat-Bulk describes crystalline MgCrFe2 at its relaxed geometry. The functional is PBE.

abc: 4.078 4.078 2.870
angles: 90.00 90.00 90.00
Atoms (fractional coordinates):
Mg  0.000  0.000  0.000
Cr  0.500  0.500  0.000
Fe  0.000  0.500  0.500
Fe  0.500  0.000  0.500

Calculated values
ΔH_f (0 K)	0.357	eV/atom

***

| no. | spin magnetization (μB/cell) | uncorrected energy (eV/cell) |
| --- | --- | --- |
| 1 | 0.53 | -10.64 |
| 2 | 0.00 | -8.79 |
| 3 | 0.13 | -26.72 |